[1]
# PBE Mg14SiW, relaxed
data_Mg14SiW
_chemical_formula_sum 'Mg14 Si1 W1'
_cell_length_a 6.232
_cell_length_b 6.232
_cell_length_c 9.868
_cell_angle_alpha 90.00
_cell_angle_beta 90.00
_cell_angle_gamma 120.00
_space_group_name_H-M_alt 'P 1'
_space_group_IT_number 1
_space_group_name_Hall 'P 1'
loop_
_atom_site_label
_atom_site_type_symbol
_atom_site_fract_x
_atom_site_fract_y
_atom_site_fract_z
Mg1 Mg 0.000 0.000 0.249
Mg2 Mg 0.000 0.000 0.751
Mg3 Mg 0.016 0.508 0.251
Mg4 Mg 0.016 0.508 0.749
Mg5 Mg 0.333 0.166 0.000
Mg6 Mg 0.335 0.167 0.500
Mg7 Mg 0.492 0.508 0.251
Mg8 Mg 0.492 0.508 0.749
Mg9 Mg 0.492 0.984 0.251
Mg10 Mg 0.492 0.984 0.749
Mg11 Mg 0.833 0.167 0.500
Mg12 Mg 0.833 0.665 0.500
Mg13 Mg 0.834 0.166 0.000
Mg14 Mg 0.834 0.667 0.000
Si1 Si 0.333 0.667 0.000
W1 W 0.333 0.667 0.500
# - D(E_F): 9.26 states/eV/f.u.
# - Uncorrected energy: -38.38 eV per cell
# - Space group: P-6m2
# - Distance to the lowest polymorph of the same formula: 0.000 eV/atom
# - Mass density: 2.763 g/cm3
# - V: 331.88 Å³/f.u.

=====

[2]
# PBE GaAgPtPb, relaxed
data_GaAgPtPb
_chemical_formula_sum 'Ga1 Ag1 Pt1 Pb1'
_cell_length_a 5.781
_cell_length_b 5.781
_cell_length_c 5.781
_cell_angle_alpha 43.81
_cell_angle_beta 43.81
_cell_angle_gamma 43.81
_space_group_name_H-M_alt 'P 1'
_space_group_IT_number 1
_space_group_name_Hall 'P 1'
loop_
_atom_site_label
_atom_site_type_symbol
_atom_site_fract_x
_atom_site_fract_y
_atom_site_fract_z
Ga1 Ga 0.000 0.000 0.000
Ag1 Ag 0.585 0.585 0.585
Pt1 Pt 0.367 0.367 0.367
Pb1 Pb 0.803 0.803 0.803
# - D(E_F): 1.54 states/eV/f.u.
# - Uncorrected energy: -16.36 eV per cell
# - Space group: R3m
# - Distance to the lowest polymorph of the same formula: 0.001 eV/atom
# - Mass density: 11.450 g/cm3
# - V: 84.09 Å³/f.u.

=====

[3]
# PBE HfPaN2O, relaxed
data_HfPaN2O
_chemical_formula_sum 'Hf2 Pa2 N4 O2'
_cell_length_a 5.568
_cell_length_b 5.568
_cell_length_c 7.469
_cell_angle_alpha 90.00
_cell_angle_beta 90.00
_cell_angle_gamma 146.33
_space_group_name_H-M_alt 'P 1'
_space_group_IT_number 1
_space_group_name_Hall 'P 1'
loop_
_atom_site_label
_atom_site_type_symbol
_atom_site_fract_x
_atom_site_fract_y
_atom_site_fract_z
Hf1 Hf 0.000 0.000 0.000
Hf2 Hf 0.000 0.000 0.500
Pa1 Pa 0.249 0.751 0.750
Pa2 Pa 0.751 0.249 0.250
N1 N 0.362 0.638 0.063
N2 N 0.362 0.638 0.437
N3 N 0.638 0.362 0.563
N4 N 0.638 0.362 0.937
O1 O 0.089 0.911 0.250
O2 O 0.911 0.089 0.750
# - D(E_F): 1.73 states/eV/f.u.
# - Uncorrected energy: -103.80 eV per cell
# - Space group: Cmcm
# - Mass density: 11.735 g/cm3
# - V: 64.18 Å³/f.u.